Record 1
# Sr2CaMg12Tl3 (PBE-GGA, relaxed)
data_Sr2CaMg12Tl3
_chemical_formula_sum 'Sr6 Ca3 Mg36 Tl9'
_symmetry_space_group_name_H-M 'R -3 m'
_symmetry_Int_Tables_number 166
_symmetry_space_group_name_Hall '-R 3 2"'
_cell_length_a 8.8376
_cell_length_b 8.8376
_cell_length_c 25.9594
_cell_angle_alpha 90.00
_cell_angle_beta 90.00
_cell_angle_gamma 120.00
loop_
_atom_site_label
_atom_site_type_symbol
_atom_site_fract_x
_atom_site_fract_y
_atom_site_fract_z
Sr1 Sr 0.0000 0.0000 0.0811
Ca1 Ca 0.0000 0.0000 0.5000
Mg1 Mg 0.0896 0.5448 0.8642
Mg2 Mg 0.0973 0.5487 0.2632
Tl1 Tl 0.0000 0.5000 0.0000
# Total magnetic moment ... 0.0 μB/f.u.
# Energy of formation from the pure elements ... 0.200 eV per atom
# Fermi-level density of states ... 0.455 states/eV/atom

***

Record 2
# SrCaTmMg (PBE-GGA, relaxed)
data_SrCaTmMg
_chemical_formula_sum 'Sr4 Ca4 Tm4 Mg4'
_symmetry_space_group_name_H-M 'F -4 3 m'
_symmetry_Int_Tables_number 216
_symmetry_space_group_name_Hall 'F -4 2 3'
_cell_length_a 8.2536
_cell_length_b 8.2536
_cell_length_c 8.2536
_cell_angle_alpha 90.00
_cell_angle_beta 90.00
_cell_angle_gamma 90.00
loop_
_atom_site_label
_atom_site_type_symbol
_atom_site_fract_x
_atom_site_fract_y
_atom_site_fract_z
Sr1 Sr 0.0000 0.0000 0.0000
Ca1 Ca 0.2500 0.2500 0.7500
Tm1 Tm 0.0000 0.0000 0.5000
Mg1 Mg 0.2500 0.2500 0.2500
# Total magnetic moment ... 0.0 μB/f.u.
# Energy of formation from the pure elements ... 0.144 eV per atom
# Fermi-level density of states ... 1.537 states/eV/atom

***

Number 2 is which compound?
SrCaTmMg

***

Which value of Fermi-level density of states does entry 1 give?
0.455 states/eV/atom

***

Number 1 is which compound?
Sr2CaMg12Tl3

***

Fermi-level density of states of number 2 (SrCaTmMg)?
1.537 states/eV/atom